Material: Cr2HIrF
Method: DFT, PBE+U
State: optimized geometry

a = 4.9154 Å, b = 2.7417 Å, c = 4.9154 Å
α = 90.00°, β = 90.00°, γ = 90.00°
Last column: nearest neighbours and their distance in Å.
Atoms (fractional coordinates):
H 0.0000 0.5000 0.0000  2 F 1.37
Cr 0.5000 0.0000 0.0000  2 F 2.46, 2 Cr 2.74
Cr 0.0000 0.0000 0.5000  2 F 2.46, 2 Cr 2.74
F 0.0000 0.0000 0.0000  2 H 1.37
Ir 0.5000 0.5000 0.5000  2 Ir 2.74, 8 Cr 2.81

Symmetry = P4/mmm, No. 123
Spin magnetization = 1.693 μB/atom
Total energy = -5.669 eV/atom
Density of states at the Fermi level = 2.8 states/eV/f.u.